Compound: Na4PmPb5
Source: the Alexandria database
Functional: PBE-GGA
Structure: optimized geometry

Computed properties:
DFT formation energy = -2.0 eV/f.u.
VASP energy = -3.05 eV/atom
Calculated volume = 28.57 Å³ per atom

a b c (Å): 3.7622 3.7622 20.1883
angles (deg): 90.00 90.00 90.00
With the nearest neighbours (Å) after each atom.
Element x y z (fractional)
Na 0.0000 0.0000 0.5969  8 Pb 3.30-3.31
Pm 0.0000 0.0000 0.0000  8 Pb 3.43, 4 Pm 3.76
Na 0.0000 0.0000 0.4031  8 Pb 3.30-3.31
Pb 0.5000 0.5000 0.3058  8 Na 3.31-3.33
Pb 0.5000 0.5000 0.5000  8 Na 3.30
Pb 0.5000 0.5000 0.6942  8 Na 3.31-3.33
Na 0.0000 0.0000 0.2062  8 Pb 3.32-3.33
Na 0.0000 0.0000 0.7938  8 Pb 3.32-3.33
Pb 0.5000 0.5000 0.1074  4 Na 3.32, 4 Pm 3.43
Pb 0.5000 0.5000 0.8926  4 Na 3.32, 4 Pm 3.43